VASP calculation (GGA-PBEsol) on a geometry-optimized HfNbB4 structure.

a = 3.1152 Å, b = 3.1152 Å, c = 6.7456 Å
α = 90.00°, β = 90.00°, γ = 120.00°
Last column: nearest neighbours and their distance in Å.
Element x y z (fractional)
Nb  0.0000  0.0000  0.5000  12 B 2.45
B  0.6667  0.3333  0.2535  3 B 1.80
B  0.6667  0.3333  0.7465  3 B 1.80
B  0.3333  0.6667  0.2535  3 B 1.80
B  0.3333  0.6667  0.7465  3 B 1.80
Hf  0.0000  0.0000  0.0000  12 B 2.48

Calculated values
The calculation puts the density of states at the Fermi level at 0.15 states/eV per atom. Its space group is No. 191. The total magnetic moment is 0.0 μB/f.u. For the calculated total energy, the calculation gives -9.176 eV per atom. Its volume is 57 Å³/cell. The value obtained for the formation energy is -944 meV per atom.

***

VASP calculation (GGA-PBEsol) on a geometry-optimized Hf2NbB structure.

a = 4.9587 Å, b = 5.8065 Å, c = 5.8065 Å
α = 79.49°, β = 64.72°, γ = 64.72°
Last column: nearest neighbours and their distance in Å.
Element x y z (fractional)
Nb  0.0000  0.0000  0.0000  2 B 2.48
Nb  0.7500  0.5000  0.5000  2 B 2.48
B  0.5000  0.0000  0.0000  4 Hf 2.36, 2 Nb 2.48
B  0.2500  0.5000  0.5000  4 Hf 2.36, 2 Nb 2.48
Hf  0.5516  0.0734  0.5734  2 B 2.36
Hf  0.1984  0.9266  0.4266  2 B 2.36
Hf  0.3750  0.4266  0.0734  2 B 2.36
Hf  0.8750  0.5734  0.9266  2 B 2.36

Calculated values
The calculation puts the density of states at the Fermi level at 0.91 states/eV per atom. Its space group is No. 122. The total magnetic moment is 0.0 μB/f.u. For the calculated total energy, the calculation gives -9.406 eV per atom. Its volume is 137 Å³/cell. The value obtained for the formation energy is 305 meV per atom.

***

VASP calculation (GGA-PBEsol) on a geometry-optimized Hf2NbB2 structure.

a = 3.3804 Å, b = 6.3455 Å, c = 6.3455 Å
α = 90.00°, β = 90.00°, γ = 90.00°
Last column: nearest neighbours and their distance in Å.
Element x y z (fractional)
Nb  0.0000  0.0000  0.0000  4 B 2.61, 8 Hf 2.87
Nb  0.0000  0.5000  0.5000  4 B 2.61, 8 Hf 2.87
B  0.0000  0.3982  0.8982  1 B 1.83
B  0.0000  0.8982  0.6018  1 B 1.83
B  0.0000  0.6018  0.1018  1 B 1.83
B  0.0000  0.1018  0.3982  1 B 1.83
Hf  0.5000  0.1826  0.6826  6 B 2.53-2.57
Hf  0.5000  0.6826  0.8174  6 B 2.53-2.57
Hf  0.5000  0.8174  0.3174  6 B 2.53-2.57
Hf  0.5000  0.3174  0.1826  6 B 2.53-2.57

Calculated values
The calculation puts the density of states at the Fermi level at 0.85 states/eV per atom. Its space group is No. 127. The total magnetic moment is 0.0 μB/f.u. For the calculated total energy, the calculation gives -9.756 eV per atom. Its volume is 136 Å³/cell. The value obtained for the formation energy is -584 meV per atom.

***

VASP calculation (GGA-PBEsol) on a geometry-optimized HfNbB2 structure.

a = 3.1634 Å, b = 3.3718 Å, c = 4.7869 Å
α = 110.62°, β = 90.00°, γ = 90.00°
Last column: nearest neighbours and their distance in Å.
Element x y z (fractional)
Nb  0.5000  0.8590  0.7179  6 B 2.42-2.43
B  0.0000  0.4412  0.8823  2 B 1.87
B  0.5000  0.5522  0.1044  2 B 1.87
Hf  0.0000  0.1477  0.2954  7 B 2.46-2.63

Calculated values
The calculation puts the density of states at the Fermi level at 0.34 states/eV per atom. Its space group is No. 38. The total magnetic moment is 0.0 μB/f.u. For the calculated total energy, the calculation gives -9.664 eV per atom. Its volume is 48 Å³/cell. The value obtained for the formation energy is -825 meV per atom.